(1)
Material: Tb3Ho6Cd
Method: DFT, GGA-PBE
State: relaxed

abc: 10.885 18.797 6.060
angles: 90.00 90.00 90.00
Space group Cmc2_1 (No. 36)
Asymmetric unit:
Tb 0.000 0.108 0.000 (multiplicity 4)
Tb 0.164 0.396 0.572 (multiplicity 8)
Ho 0.000 0.237 0.374 (multiplicity 4)
Ho 0.000 0.445 0.095 (multiplicity 4)
Ho 0.162 0.052 0.519 (multiplicity 8)
Ho 0.223 0.217 0.715 (multiplicity 8)
Cd 0.000 0.293 0.905 (multiplicity 4)

Crystal system = orthorhombic
Raw total energy = -4.173 eV per atom
Fermi-level density of states = 1.29 states/eV/atom
V = 1239.9 Å³/cell
E_form = 0.054 eV/atom

***

(2)
Material: Y2Al
Method: DFT, GGA-PBE
State: relaxed

abc: 11.738 3.625 8.323
angles: 90.00 113.69 90.00
Space group C2/m (No. 12)
Asymmetric unit:
Y 0.010 0.000 0.207 (multiplicity 4)
Y 0.166 0.500 0.623 (multiplicity 4)
Al 0.191 0.500 0.060 (multiplicity 4)

Crystal system = monoclinic
Raw total energy = -5.779 eV per atom
Fermi-level density of states = 1.07 states/eV/atom
V = 324.3 Å³/cell
E_form = -0.222 eV/atom

***

(3)
Material: LaCePr2
Method: DFT, GGA-PBE
State: relaxed

abc: 3.609 3.609 10.517
angles: 90.00 90.00 90.00
Space group P4/mmm (No. 123)
Asymmetric unit:
La 0.000 0.000 0.000 (multiplicity 1)
Ce 0.000 0.000 0.500 (multiplicity 1)
Pr 0.500 0.500 0.268 (multiplicity 2)

Crystal system = tetragonal
Raw total energy = -5.043 eV per atom
Fermi-level density of states = 1.87 states/eV/atom
V = 137.0 Å³/cell
E_form = 0.062 eV/atom

***

(4)
Material: PmBe2SnPd5
Method: DFT, GGA-PBE
State: relaxed

abc: 4.420 4.420 7.564
angles: 90.00 90.00 90.00
Space group P4/mmm (No. 123)
Asymmetric unit:
Pm 0.000 0.000 0.000 (multiplicity 1)
Be 0.500 0.500 0.327 (multiplicity 2)
Sn 0.000 0.000 0.500 (multiplicity 1)
Pd 0.000 0.500 0.276 (multiplicity 4)
Pd 0.500 0.500 0.000 (multiplicity 1)

Crystal system = tetragonal
Raw total energy = -5.202 eV per atom
Fermi-level density of states = 0.36 states/eV/atom
V = 147.8 Å³/cell
E_form = -0.516 eV/atom

***

(5)
Material: NpNi2P3
Method: DFT, GGA-PBE
State: relaxed

abc: 4.291 10.778 3.910
angles: 90.00 90.00 90.00
Space group Pmmn (No. 59, origin choice 2)
Asymmetric unit:
Np 0.250 0.250 0.127 (multiplicity 2)
Ni 0.250 0.543 0.139 (multiplicity 4)
P 0.250 0.055 0.644 (multiplicity 4)
P 0.250 0.750 0.351 (multiplicity 2)

Crystal system = orthorhombic
Raw total energy = -7.298 eV per atom
Fermi-level density of states = 1.93 states/eV/atom
V = 180.8 Å³/cell
E_form = -0.509 eV/atom

***

(6)
Material: Y2AgPt2
Method: DFT, GGA-PBE
State: relaxed

abc: 8.116 8.116 3.417
angles: 90.00 90.00 90.00
Space group P4/mbm (No. 127)
Asymmetric unit:
Y 0.158 0.342 0.000 (multiplicity 4)
Ag 0.000 0.000 0.000 (multiplicity 2)
Pt 0.135 0.635 0.500 (multiplicity 4)

Crystal system = tetragonal
Raw total energy = -6.317 eV per atom
Fermi-level density of states = 0.64 states/eV/atom
V = 225.0 Å³/cell
E_form = -0.745 eV/atom

***

(7)
Material: PrAs12Ir4
Method: DFT, GGA-PBE
State: relaxed

abc: 8.696 8.696 8.696
angles: 90.00 90.00 90.00
Space group Im-3 (No. 204)
Asymmetric unit:
Pr 0.000 0.000 0.000 (multiplicity 2)
As 0.000 0.343 0.144 (multiplicity 24)
Ir 0.250 0.250 0.250 (multiplicity 8)

Crystal system = cubic
Raw total energy = -6.112 eV per atom
Fermi-level density of states = 0.33 states/eV/atom
V = 657.5 Å³/cell
E_form = -0.464 eV/atom

***

(8)
Material: Zn2BrCl
Method: DFT, GGA-PBE
State: relaxed

abc: 3.5816 3.5816 26.4424
angles: 90.00 90.00 120.00
Space group R3m (No. 160, hexagonal axes)
Asymmetric unit:
Zn 0.0000 0.0000 0.0000 (multiplicity 3)
Zn 0.0000 0.0000 0.2613 (multiplicity 3)
Br 0.0000 0.0000 0.5351 (multiplicity 3)
Cl 0.0000 0.0000 0.7198 (multiplicity 3)

Crystal system = trigonal
Raw total energy = -2.064 eV per atom
Fermi-level density of states = 0.19 states/eV/atom
V = 293.8 Å³/cell